# 1
The following is a DFT calculation (GGA-PBE) of a relaxed structure of K2GeI5.

Cell and atoms, written as POSCAR:
```
K2GeI5
1.0
6.321 0.000 0.000
-3.160 8.717 0.000
0.000 0.000 14.901
K Ge I
4 2 10
direct
0.839 0.679 0.415 K
0.839 0.679 0.085 K
0.161 0.321 0.585 K
0.161 0.321 0.915 K
0.846 0.693 0.750 Ge
0.154 0.307 0.250 Ge
0.956 0.912 0.891 I
0.956 0.912 0.609 I
0.275 0.550 0.385 I
0.275 0.550 0.115 I
0.676 0.352 0.250 I
0.324 0.648 0.750 I
0.725 0.450 0.615 I
0.725 0.450 0.885 I
0.044 0.088 0.109 I
0.044 0.088 0.391 I
```

Values from the calculation:
theoretical density = 3.18 Mg/m³
raw formation energy = -0.7601 eV per atom
SG = Cmcm



# 2
The following is a DFT calculation (GGA-PBE) of a relaxed structure of Er2ScP3Rh12.

Cell and atoms, written as POSCAR:
```
Er2ScP3Rh12
1.0
6.447 -1.360 -0.965
2.001 6.278 -0.965
2.001 1.165 6.244
Er Sc P Rh
2 1 3 12
direct
0.627 0.627 0.627 Er
0.373 0.373 0.373 Er
0.000 0.000 0.000 Sc
0.500 0.000 0.000 P
0.000 0.500 0.000 P
0.000 0.000 0.500 P
0.370 0.370 0.907 Rh
0.823 0.823 0.332 Rh
0.332 0.823 0.823 Rh
0.907 0.370 0.370 Rh
0.823 0.332 0.823 Rh
0.370 0.907 0.370 Rh
0.630 0.630 0.093 Rh
0.177 0.177 0.668 Rh
0.668 0.177 0.177 Rh
0.093 0.630 0.630 Rh
0.177 0.668 0.177 Rh
0.630 0.093 0.630 Rh
```

Values from the calculation:
theoretical density = 9.80 Mg/m³
SG = R-3m
E_form = -0.44 eV per atom



no.,N(E_F) (states/eV/f.u.)
1,2.95
2,14.82